[1]
## DyEr2Pd2 (PBE)

Data for crystalline DyEr2Pd2 at its relaxed geometry.

Unit cell a=7.0787 b=7.0787 c=9.6127 alpha=90.00 beta=90.00 gamma=148.58
Positions (direct):
Dy  0.1006  0.8994  0.5000
Dy  0.8994  0.1006  0.0000
Er  0.1829  0.8171  0.8663
Er  0.3932  0.6068  0.6578
Er  0.6068  0.3932  0.1578
Er  0.8171  0.1829  0.3663
Pd  0.2624  0.7376  0.1523
Pd  0.4681  0.5319  0.3745
Pd  0.5319  0.4681  0.8745
Pd  0.7376  0.2624  0.6523

* total DFT energy (no corrections): -5.504 eV per atom
* excess energy over the best structure of this formula in the dataset: 6.42 kJ/mol of atoms
* formation enthalpy at 0 K: -0.681 eV per atom

[2]
## DyEr4Pd2 (PBE)

Data for crystalline DyEr4Pd2 at its relaxed geometry.

Unit cell a=15.6257 b=15.6257 c=15.6257 alpha=14.09 beta=14.09 gamma=14.09
Positions (direct):
Dy  0.0000  0.0000  0.0000
Er  0.1979  0.1979  0.1979
Er  0.3943  0.3943  0.3943
Er  0.6057  0.6057  0.6057
Er  0.8021  0.8021  0.8021
Pd  0.0982  0.0982  0.0982
Pd  0.9018  0.9018  0.9018

* total DFT energy (no corrections): -5.116 eV per atom
* excess energy over the best structure of this formula in the dataset: 8.31 kJ/mol of atoms
* formation enthalpy at 0 K: -0.368 eV per atom

[3]
## DyEr2Pd (PBE)

Data for crystalline DyEr2Pd at its relaxed geometry.

Unit cell a=3.5499 b=3.5499 c=8.3430 alpha=90.00 beta=90.00 gamma=90.00
Positions (direct):
Dy  0.0000  0.0000  0.0000
Er  0.5000  0.5000  0.3013
Er  0.5000  0.5000  0.6987
Pd  0.0000  0.0000  0.5000

* total DFT energy (no corrections): -5.160 eV per atom
* excess energy over the best structure of this formula in the dataset: 5.38 kJ/mol of atoms
* formation enthalpy at 0 K: -0.430 eV per atom

[4]
## DyEr5Pd6 (PBE)

Data for crystalline DyEr5Pd6 at its relaxed geometry.

Unit cell a=4.9801 b=6.8390 c=7.8381 alpha=90.00 beta=108.37 gamma=90.00
Positions (direct):
Dy  0.0000  0.0000  0.0000
Er  0.0000  0.5000  0.0000
Er  0.3332  0.0000  0.6664
Er  0.3334  0.5000  0.6669
Er  0.6668  0.0000  0.3336
Er  0.6666  0.5000  0.3331
Pd  0.1678  0.2508  0.3358
Pd  0.1678  0.7492  0.3358
Pd  0.5000  0.2525  0.0000
Pd  0.5000  0.7475  0.0000
Pd  0.8322  0.2508  0.6642
Pd  0.8322  0.7492  0.6642

* total DFT energy (no corrections): -5.796 eV per atom
* formation enthalpy at 0 K: -0.914 eV per atom

[5]
## Dy2ErPd9 (PBE)

Data for crystalline Dy2ErPd9 at its relaxed geometry.

Unit cell a=4.1166 b=4.1166 c=12.3506 alpha=90.00 beta=90.00 gamma=90.00
Positions (direct):
Dy  0.0000  0.0000  0.1675
Dy  0.0000  0.0000  0.8325
Er  0.0000  0.0000  0.5000
Pd  0.0000  0.5000  0.0000
Pd  0.0000  0.5000  0.3346
Pd  0.0000  0.5000  0.6654
Pd  0.5000  0.0000  0.0000
Pd  0.5000  0.0000  0.3346
Pd  0.5000  0.0000  0.6654
Pd  0.5000  0.5000  0.1670
Pd  0.5000  0.5000  0.5000
Pd  0.5000  0.5000  0.8330

* total DFT energy (no corrections): -5.923 eV per atom
* formation enthalpy at 0 K: -0.881 eV per atom

[6]
## DyEr2Pd3 (PBE)

Data for crystalline DyEr2Pd3 at its relaxed geometry.

Unit cell a=3.4895 b=3.4895 c=10.4570 alpha=90.00 beta=90.00 gamma=90.00
Positions (direct):
Dy  0.0000  0.0000  0.0000
Er  0.0000  0.0000  0.3345
Er  0.0000  0.0000  0.6655
Pd  0.5000  0.5000  0.1700
Pd  0.5000  0.5000  0.5000
Pd  0.5000  0.5000  0.8300

* total DFT energy (no corrections): -5.792 eV per atom
* excess energy over the best structure of this formula in the dataset: 0.56 kJ/mol of atoms
* formation enthalpy at 0 K: -0.907 eV per atom

> Look up the total DFT energy (no corrections) of the fifth one.

-5.923 eV per atom

> Number 1 is which compound?

DyEr2Pd2